Here is an optimized crystal structure of Na6IF12 from Alexandria via LeMat-Bulk. Energies are from PBE.

Computed properties:
E = -221.67 eV per cell
Formation energy without anion corrections = -213.1 kJ/mol of atoms

Unit cell a=10.2461 b=10.2461 c=9.7592 alpha=90.00 beta=90.00 gamma=120.00
Closest atoms and distances in Å follow each position.
Space group R-3 (No. 148, hexagonal axes)
Symmetry-distinct sites (fractional):
Na: 0.0174 0.2322 0.1293 [18 per cell]  4 F 2.26-2.29
I: 0.0000 0.0000 0.5000 [3 per cell]  6 F 2.01
F: 0.0155 0.2228 0.8944 [18 per cell]  4 Na 2.26-2.29
F: 0.0242 0.1728 0.3835 [18 per cell]  1 I 2.01